Version one
This record from Alexandria via LeMat-Bulk describes a relaxed structure of Ac2PrPb3. The functional is PBE. Values from VASP.

```
&SYSTEM
  ibrav = 0, nat = 12, ntyp = 3
/
ATOMIC_SPECIES
Pb 207.20 Pb.upf
Pr 140.91 Pr.upf
Ac 227.00 Ac.upf
ATOMIC_POSITIONS angstrom
Pb 3.033 0.000 1.759
Pb 3.038 6.057 1.723
Pb 6.084 3.111 1.735
Pb 3.030 0.000 5.635
Pb 3.025 6.057 5.671
Pb 6.071 3.111 5.683
Pr 3.046 3.057 0.012
Pr 6.092 6.111 0.024
Ac 0.000 0.000 0.000
Ac -0.014 0.000 3.685
Ac 3.032 3.034 3.697
Ac 6.077 6.134 3.709
CELL_PARAMETERS angstrom
6.092 0.000 0.024
3.046 9.168 0.012
-0.029 0.000 7.370
```

SG: C2/m

---

Version two
This record from Alexandria via LeMat-Bulk describes a relaxed structure of Ac2PrPb3. The functional is PBE. Values from VASP.

```
&SYSTEM
  ibrav = 0, nat = 6, ntyp = 3
/
ATOMIC_SPECIES
Ac 227.00 Ac.upf
Pb 207.20 Pb.upf
Pr 140.91 Pr.upf
ATOMIC_POSITIONS angstrom
Ac 2.435 0.000 2.428
Ac 0.000 3.379 4.631
Pb 0.000 0.000 4.900
Pb 0.000 0.000 0.000
Pb 2.435 3.379 2.159
Pr 0.000 3.379 0.000
CELL_PARAMETERS angstrom
4.869 0.000 0.000
0.000 6.757 0.000
-2.435 -3.379 7.059
```

SG: Immm

---

Referenced to the most stable arrangement, the calculated values in kJ/mol of atoms are version one 0.0; version two 7.8.

---

Version one
This record from Alexandria via LeMat-Bulk describes a relaxed structure of AcPr2Pb2. The functional is PBE. Values from VASP.

```
&SYSTEM
  ibrav = 0, nat = 5, ntyp = 3
/
ATOMIC_SPECIES
Pr 140.91 Pr.upf
Ac 227.00 Ac.upf
Pb 207.20 Pb.upf
ATOMIC_POSITIONS angstrom
Pr -0.069 2.660 3.569
Pr 2.614 0.497 3.569
Ac 0.000 0.000 0.000
Pb 2.241 2.780 1.215
Pb 0.304 0.377 5.923
CELL_PARAMETERS angstrom
4.842 0.515 -0.276
-0.525 4.841 -0.276
-1.772 -2.199 7.690
```

SG: C2/m

---

Version two
This record from Alexandria via LeMat-Bulk describes a relaxed structure of AcPr2Pb2. The functional is PBE. Values from VASP.

```
&SYSTEM
  ibrav = 0, nat = 10, ntyp = 3
/
ATOMIC_SPECIES
Pr 140.91 Pr.upf
Pb 207.20 Pb.upf
Ac 227.00 Ac.upf
ATOMIC_POSITIONS angstrom
Pr 6.303 1.240 1.445
Pr 6.103 -2.441 -0.395
Pr 10.362 -1.003 0.877
Pr 2.043 -0.198 0.173
Pb 7.596 -1.734 2.642
Pb 6.164 2.522 4.549
Pb 4.286 -1.414 2.361
Pb 5.718 -5.671 0.454
Ac 2.992 1.520 3.635
Ac 2.688 -4.067 0.842
CELL_PARAMETERS angstrom
-0.523 -1.947 3.952
5.898 -6.188 -2.268
6.507 4.987 3.318
```

SG: P4/mbm

---

Referenced to the most stable arrangement, the calculated values in kJ/mol of atoms are version one 9.5; version two 0.0.